Material: TeP2Ru
Method: DFT, PBE
State: optimized geometry

Lattice parameters (Å, degrees): 4.590 4.590 3.131 90.00 90.00 90.00
Fractional positions:
P  0.000  0.000  0.000
P  0.500  0.500  0.000
Ru  0.500  0.000  0.500
Te  0.000  0.500  0.500

Output
E	-0.3767	Ry/atom